{"formula": "MoOsRh4", "functional": "GGA-PBE", "state": "relaxed", "lattice": [[-2.0333, -3.7558, 1.3242], [1.2700, -1.9704, 3.9108], [-5.7195, 0.9270, 1.3965]], "species": ["Mo", "Os", "Rh", "Rh", "Rh", "Rh"], "fractional_positions": [[0.5000, 0.5000, 0.5000], [0.0000, 0.0000, 0.0000], [0.5962, 0.7139, 0.0936], [0.4038, 0.2861, 0.9064], [0.0923, 0.2170, 0.5985], [0.9077, 0.7830, 0.4015]], "space_group": "C2/m", "ef_mev_per_atom": 114, "volume_a3_per_fu": 90, "final_energy_ev_per_cell": -50.78, "dos_ef_per_ev_cell": 5.248}